Entry from Alexandria: crystalline SrAl2Mo at its relaxed geometry (PBE).

Results
**Raw total energy**: -4.98 eV/atom
**SG**: P4/mmm (123)
**ΔE to the lowest computed polymorph**: 0.00 eV/f.u.
**Total magnetization**: 0.00 μB/f.u.

Cell lengths 3.4186, 3.4186, 7.1803 Å; angles 90.00, 90.00, 89.99 degrees
With the nearest neighbours (Å) after each atom.
Fractional positions:
Sr: 0.5000 0.5000 0.7500  8 Al 3.35, 4 Sr 3.42, 2 Mo 3.59
Mo: 0.5000 0.5000 0.2500  8 Al 2.73
Al: 0.0000 0.0000 0.0722  1 Al 2.55, 4 Mo 2.73
Al: 0.0000 0.0000 0.4278  1 Al 2.55, 4 Mo 2.73

Entry from Alexandria: crystalline Sr2AlMo at its relaxed geometry (PBE).

Results
**Raw total energy**: -3.55 eV/atom
**SG**: C2/m (12)
**Total magnetization**: 0.00 μB/f.u.

Cell lengths 5.7551, 5.7551, 5.8374 Å; angles 80.35, 80.35, 32.75 degrees
With the nearest neighbours (Å) after each atom.
Fractional positions:
Sr: 0.9994 0.9994 0.0017  6 Sr 3.24-3.36, 3 Mo 3.31-3.34, 3 Al 3.32-3.34
Sr: 0.5006 0.5006 0.4983  6 Sr 3.24-3.36, 3 Mo 3.31-3.34, 3 Al 3.32-3.34
Mo: 0.2500 0.2500 0.2500  2 Mo 3.24, 6 Sr 3.31-3.34, 4 Al 3.34
Al: 0.7500 0.7500 0.7500  2 Al 3.24, 6 Sr 3.32-3.34, 4 Mo 3.34

Q: Which value of raw total energy does entry 2 give?
A: -3.55 eV/atom